Entry from Alexandria: crystalline Li2CaGaAu at its relaxed geometry (GGA-PBE).

Computed properties:
- energy of formation (meV/atom) = -266
- E (eV per cell) = -13.46

Geometry as CIF:
```
data_Li2CaGaAu
_space_group_name_H-M_alt 'P 4/m m m'
_space_group_IT_number 123
_space_group_name_Hall '-P 4 2'
_cell_length_a 4.9016
_cell_length_b 4.9016
_cell_length_c 4.8717
_cell_angle_alpha 90.00
_cell_angle_beta 90.00
_cell_angle_gamma 90.00
loop_
_atom_site_label
_atom_site_type_symbol
_atom_site_fract_x
_atom_site_fract_y
_atom_site_fract_z
_atom_site_occupancy
Li1 Li 0.0000 0.5000 0.0000 1
Ca1 Ca 0.0000 0.0000 0.5000 1
Ga1 Ga 0.5000 0.5000 0.5000 1
Au1 Au 0.5000 0.5000 0.0000 1
```